No. 1
Below is crystalline CsGdCdS3 at its relaxed geometry, with properties calculated at the PBE-GGA level.

Lattice parameters (Å, degrees): 9.1651 4.1920 10.3301 90.00 110.53 90.00
Fractional coordinates of all 12 atoms:
Cs: 0.2260 0.2500 0.2443
Cs: 0.7740 0.7500 0.7557
Gd: 0.3296 0.7500 0.8683
Gd: 0.6704 0.2500 0.1317
Cd: 0.0842 0.2500 0.6153
Cd: 0.9158 0.7500 0.3847
S: 0.1224 0.2500 0.8666
S: 0.2125 0.7500 0.5555
S: 0.4761 0.7500 0.1436
S: 0.5239 0.2500 0.8564
S: 0.7875 0.2500 0.4445
S: 0.8776 0.7500 0.1334

Properties
Space-group type = P2_1/m
E_tot = -54.58 eV/cell

***

No. 2
Below is crystalline CsGdCdS3 at its relaxed geometry, with properties calculated at the PBE-GGA level.

Lattice parameters (Å, degrees): 8.9418 8.9418 9.2298 101.81 101.81 27.04
Fractional coordinates of all 12 atoms:
Cs: 0.1524 0.1524 0.0581
Cs: 0.8476 0.8476 0.9419
Gd: 0.1661 0.1661 0.5725
Gd: 0.8339 0.8339 0.4275
Cd: 0.4991 0.4991 0.2800
Cd: 0.5009 0.5009 0.7200
S: 0.0000 0.0000 0.5000
S: 0.3316 0.3316 0.6302
S: 0.3458 0.3458 0.2432
S: 0.5000 0.5000 0.0000
S: 0.6542 0.6542 0.7568
S: 0.6684 0.6684 0.3698

Properties
Space-group type = C2/m
E_tot = -53.48 eV/cell

***

No. 3
Below is crystalline CsCdGe at its relaxed geometry, with properties calculated at the PBE-GGA level.

Lattice parameters (Å, degrees): 5.4394 5.4394 5.4394 60.00 60.00 60.00
Fractional coordinates of all 3 atoms:
Cs: 0.0000 0.0000 0.0000
Cd: 0.5000 0.5000 0.5000
Ge: 0.7500 0.7500 0.7500

Properties
Space-group type = F-43m
E_tot = -5.18 eV/cell

***

No. 4
Below is crystalline CsCdGe at its relaxed geometry, with properties calculated at the PBE-GGA level.

Lattice parameters (Å, degrees): 5.8465 5.8465 5.8465 60.00 60.00 60.00
Fractional coordinates of all 3 atoms:
Cs: 0.0000 0.0000 0.0000
Cd: 0.7500 0.7500 0.7500
Ge: 0.2500 0.2500 0.2500

Properties
Space-group type = F-43m
E_tot = -3.88 eV/cell

***

No. 5
Below is crystalline Cs4CdGe2O7 at its relaxed geometry, with properties calculated at the PBE-GGA level.

Lattice parameters (Å, degrees): 6.6408 7.4492 7.5310 113.06 101.18 105.84
Fractional coordinates of all 14 atoms:
Cs: 0.0725 0.0508 0.2795
Cs: 0.3178 0.5937 0.2396
Cs: 0.6822 0.4063 0.7604
Cs: 0.9275 0.9492 0.7205
Cd: 0.5000 0.0000 0.0000
Ge: 0.2180 0.5630 0.7258
Ge: 0.7820 0.4370 0.2742
O: 0.0000 0.5000 0.5000
O: 0.1767 0.7534 0.9375
O: 0.2031 0.3309 0.7336
O: 0.4771 0.7193 0.7259
O: 0.5229 0.2807 0.2741
O: 0.7969 0.6691 0.2664
O: 0.8233 0.2466 0.0625

Properties
Space-group type = P-1
E_tot = -70.45 eV/cell

***

No. 6
Below is crystalline Cs4Cd2GePb at its relaxed geometry, with properties calculated at the PBE-GGA level.

Lattice parameters (Å, degrees): 7.1295 7.4001 7.4001 107.75 90.00 90.00
Fractional coordinates of all 8 atoms:
Cs: 0.0000 0.1671 0.8329
Cs: 0.0000 0.8329 0.1671
Cs: 0.5000 0.5308 0.8758
Cs: 0.5000 0.8758 0.5308
Cd: 0.2652 0.3374 0.3374
Cd: 0.7348 0.3374 0.3374
Ge: 0.5000 0.1024 0.1024
Pb: 0.0000 0.5879 0.5879

Properties
Space-group type = Amm2
E_tot = -14.82 eV/cell

***

No. 7
Below is crystalline Cs3RbCd2Ge2 at its relaxed geometry, with properties calculated at the PBE-GGA level.

Lattice parameters (Å, degrees): 7.1742 6.8613 7.1946 90.00 107.65 90.00
Fractional coordinates of all 8 atoms:
Cs: 0.0000 0.0000 0.0000
Cs: 0.0541 0.5000 0.3745
Cs: 0.7112 0.5000 0.7099
Rb: 0.3436 0.0000 0.6642
Cd: 0.5257 0.2502 0.1834
Cd: 0.5257 0.7498 0.1834
Ge: 0.2874 0.5000 0.9473
Ge: 0.7536 0.0000 0.4300

Properties
Space-group type = Pm
E_tot = -15.61 eV/cell

***

No. 8
Below is crystalline Cs2CdGe3S8 at its relaxed geometry, with properties calculated at the PBE-GGA level.

Lattice parameters (Å, degrees): 7.5255 12.7763 17.2740 90.00 90.00 90.00
Fractional coordinates of all 56 atoms:
Cs: 0.2309 0.1952 0.3482
Cs: 0.2477 0.1321 0.9458
Cs: 0.2523 0.8679 0.4458
Cs: 0.2691 0.8048 0.8482
Cs: 0.7309 0.3048 0.6518
Cs: 0.7477 0.3679 0.0542
Cs: 0.7523 0.6321 0.5542
Cs: 0.7691 0.6952 0.1518
Cd: 0.0283 0.9985 0.6518
Cd: 0.4717 0.0015 0.1518
Cd: 0.5283 0.5015 0.3482
Cd: 0.9717 0.4985 0.8482
Ge: 0.0291 0.5301 0.3461
Ge: 0.2312 0.5482 0.6772
Ge: 0.2383 0.5547 0.0176
Ge: 0.2617 0.4453 0.5176
Ge: 0.2688 0.4518 0.1772
Ge: 0.4709 0.4699 0.8461
Ge: 0.5291 0.9699 0.6539
Ge: 0.7312 0.9518 0.3228
Ge: 0.7383 0.9453 0.9824
Ge: 0.7617 0.0547 0.4824
Ge: 0.7688 0.0482 0.8228
Ge: 0.9709 0.0301 0.1539
S: 0.0030 0.1180 0.7700
S: 0.0090 0.1152 0.5306
S: 0.0097 0.4219 0.2394
S: 0.0133 0.4132 0.4481
S: 0.2106 0.1281 0.1501
S: 0.2136 0.3779 0.6376
S: 0.2321 0.3838 0.0558
S: 0.2345 0.3716 0.8438
S: 0.2655 0.6284 0.3438
S: 0.2679 0.6162 0.5558
S: 0.2864 0.6221 0.1376
S: 0.2894 0.8719 0.6501
S: 0.4867 0.5868 0.9481
S: 0.4903 0.5781 0.7394
S: 0.4910 0.8848 0.0306
S: 0.4970 0.8820 0.2700
S: 0.5030 0.3820 0.2300
S: 0.5090 0.3848 0.4694
S: 0.5097 0.0781 0.7606
S: 0.5133 0.0868 0.5519
S: 0.7106 0.3719 0.8499
S: 0.7136 0.1221 0.3624
S: 0.7321 0.1162 0.9442
S: 0.7345 0.1284 0.1562
S: 0.7655 0.8716 0.6562
S: 0.7679 0.8838 0.4442
S: 0.7864 0.8779 0.8624
S: 0.7894 0.6281 0.3499
S: 0.9867 0.9132 0.0519
S: 0.9903 0.9219 0.2606
S: 0.9910 0.6152 0.9694
S: 0.9970 0.6180 0.7300

Properties
Space-group type = P2_12_12_1
E_tot = -237.42 eV/cell

***

No. 9
Below is crystalline CsCdHg at its relaxed geometry, with properties calculated at the PBE-GGA level.

Lattice parameters (Å, degrees): 5.9104 5.9104 5.9104 60.00 60.00 60.00
Fractional coordinates of all 3 atoms:
Cs: 0.0000 0.0000 0.0000
Cd: 0.2500 0.2500 0.2500
Hg: 0.5000 0.5000 0.5000

Properties
Space-group type = F-43m
E_tot = -2.06 eV/cell

***

No. 10
Below is crystalline Cs2CdHg6 at its relaxed geometry, with properties calculated at the PBE-GGA level.

Lattice parameters (Å, degrees): 7.3822 7.3822 6.7433 90.02 90.02 59.94
Fractional coordinates of all 9 atoms:
Cs: 0.1668 0.1668 0.3378
Cs: 0.8332 0.8332 0.6622
Cd: 0.5000 0.5000 0.5000
Hg: 0.1462 0.6774 0.1681
Hg: 0.3224 0.3224 0.8295
Hg: 0.3226 0.8538 0.8319
Hg: 0.6774 0.1462 0.1681
Hg: 0.6776 0.6776 0.1705
Hg: 0.8538 0.3226 0.8319

Properties
Space-group type = C2/m
E_tot = -6.26 eV/cell

***

No. 11
Below is crystalline CsCdHg at its relaxed geometry, with properties calculated at the PBE-GGA level.

Lattice parameters (Å, degrees): 5.8658 5.8658 5.8658 60.00 60.00 60.00
Fractional coordinates of all 3 atoms:
Cs: 0.0000 0.0000 0.0000
Cd: 0.5000 0.5000 0.5000
Hg: 0.7500 0.7500 0.7500

Properties
Space-group type = F-43m
E_tot = -2.17 eV/cell

***

No. 12
Below is crystalline CsRbCdHgSb2 at its relaxed geometry, with properties calculated at the PBE-GGA level.

Lattice parameters (Å, degrees): 4.9163 4.9163 11.5249 90.00 90.00 120.00
Fractional coordinates of all 6 atoms:
Cs: 0.0000 0.0000 0.0000
Rb: 0.0000 0.0000 0.5002
Cd: 0.3333 0.6667 0.2594
Hg: 0.6667 0.3333 0.7408
Sb: 0.3333 0.6667 0.7422
Sb: 0.6667 0.3333 0.2580

Properties
Space-group type = P3m1
E_tot = -13.64 eV/cell

***

Which value of E_tot does entry 2 give?
-53.48 eV/cell

***

Copy entry 1 word for word.
Below is crystalline CsGdCdS3 at its relaxed geometry, with properties calculated at the PBE-GGA level.

Lattice parameters (Å, degrees): 9.1651 4.1920 10.3301 90.00 110.53 90.00
Fractional coordinates of all 12 atoms:
Cs: 0.2260 0.2500 0.2443
Cs: 0.7740 0.7500 0.7557
Gd: 0.3296 0.7500 0.8683
Gd: 0.6704 0.2500 0.1317
Cd: 0.0842 0.2500 0.6153
Cd: 0.9158 0.7500 0.3847
S: 0.1224 0.2500 0.8666
S: 0.2125 0.7500 0.5555
S: 0.4761 0.7500 0.1436
S: 0.5239 0.2500 0.8564
S: 0.7875 0.2500 0.4445
S: 0.8776 0.7500 0.1334

Properties
Space-group type = P2_1/m
E_tot = -54.58 eV/cell